Below is a relaxed structure of YbBr, with properties calculated at the GGA-PBE level.

Output
uncorrected formation energy = -1428 meV per atom
space-group type = P-1 (2)
raw total energy = -3.027 eV per atom
total magnetic moment = 0.0000 μB/atom

a b c (Å): 4.1621 4.1625 10.6403
angles (deg): 79.35 78.75 60.01
Atoms (fractional coordinates):
Yb 0.2217 0.2138 0.3442
Yb 0.7783 0.7862 0.6558
Br 0.3899 0.4062 0.8130
Br 0.6101 0.5938 0.1870